{
  "formula": "Tl3Hg2Br7",
  "functional": "PBE",
  "state": "relaxed",
  "e_form_raw_mev_per_atom": -573,
  "dft_energy_ev_per_atom": -2.19,
  "total_magnetization_mub_per_fu": 0.00,
  "cell": [[-2.797, 0.825, 4.844], [4.798, -1.094, 2.957], [0.837, 13.728, -1.854]],
  "species": ["Tl", "Tl", "Tl", "Hg", "Hg", "Br", "Br", "Br", "Br", "Br", "Br", "Br"],
  "frac_coords": [[0.500, 0.500, 0.000], [0.500, 0.666, 0.331], [0.500, 0.334, 0.669], [0.000, 0.896, 0.791], [0.000, 0.104, 0.209], [0.000, 0.407, 0.813], [0.000, 0.799, 0.598], [0.000, 0.000, 0.000], [0.000, 0.593, 0.187], [0.500, 0.094, 0.188], [0.500, 0.906, 0.812], [0.000, 0.201, 0.402]]
}